Computed, not measured: an optimized crystal structure of NaLiInHg at the PBE-GGA level of DFT.

Properties
The calculation puts the density of states at the Fermi level at 1.662 states/eV/f.u. Its uncorrected energy is -1.803 eV/atom. The value obtained for the formation enthalpy at 0 K is -235 meV per atom. The energy above the most stable polymorph in this dataset comes out at 12 meV/atom. As for the crystal system: cubic.

a b c (Å): 5.003 5.003 5.003
angles (deg): 60.00 60.00 60.00
Fractional coordinates of all 4 atoms:
Na 0.000 0.000 0.000
Li 0.750 0.750 0.750
In 0.500 0.500 0.500
Hg 0.250 0.250 0.250


Computed, not measured: an optimized crystal structure of Cd2IrBr at the PBE-GGA level of DFT.

Properties
The calculation puts the density of states at the Fermi level at 1.379 states/eV/f.u. Its uncorrected energy is -2.521 eV/atom. The formation energy from raw total energies is 0.57 eV per atom. The energy above the most stable polymorph in this dataset comes out at 551 meV/atom. As for the crystal system: cubic.

a b c (Å): 4.894 4.894 4.894
angles (deg): 60.00 60.00 60.00
Fractional coordinates of all 4 atoms:
Cd 0.250 0.250 0.250
Cd 0.750 0.750 0.750
Ir 0.000 0.000 0.000
Br 0.500 0.500 0.500


Computed, not measured: an optimized crystal structure of DyTmPd at the PBE-GGA level of DFT.

Properties
The calculation puts the density of states at the Fermi level at 3.496 states/eV/f.u. Its uncorrected energy is -5.253 eV/atom. The value obtained for the formation enthalpy at 0 K is -497 meV per atom. The energy above the most stable polymorph in this dataset comes out at 140 meV/atom. As for the crystal system: cubic.

a b c (Å): 4.854 4.854 4.854
angles (deg): 60.00 60.00 60.00
Fractional coordinates of all 3 atoms:
Dy 0.000 0.000 0.000
Tm 0.500 0.500 0.500
Pd 0.750 0.750 0.750


Computed, not measured: an optimized crystal structure of RbBa2Tl2Bi2 at the PBE-GGA level of DFT.

Properties
The calculation puts the density of states at the Fermi level at 4.517 states/eV/f.u. Its uncorrected energy is -2.899 eV/atom. The value obtained for the formation enthalpy at 0 K is -427 meV per atom. As for the crystal system: trigonal.

a b c (Å): 11.191 11.191 11.191
angles (deg): 30.37 30.37 30.37
Fractional coordinates of all 7 atoms:
Rb 0.000 0.000 0.000
Ba 0.131 0.131 0.131
Ba 0.869 0.869 0.869
Tl 0.432 0.432 0.432
Tl 0.568 0.568 0.568
Bi 0.249 0.249 0.249
Bi 0.751 0.751 0.751


Computed, not measured: an optimized crystal structure of Pr3NdMg4 at the PBE-GGA level of DFT.

Properties
The calculation puts the density of states at the Fermi level at 8.331 states/eV/f.u. Its uncorrected energy is -3.303 eV/atom. The value obtained for the formation enthalpy at 0 K is -117 meV per atom. As for the crystal system: orthorhombic.

a b c (Å): 3.923 5.513 11.028
angles (deg): 90.00 90.00 90.00
Fractional coordinates of all 8 atoms:
Pr 0.000 0.000 0.000
Pr 0.000 0.500 0.250
Pr 0.000 0.500 0.750
Nd 0.000 0.000 0.500
Mg 0.500 0.000 0.251
Mg 0.500 0.000 0.749
Mg 0.500 0.500 0.000
Mg 0.500 0.500 0.500


Computed, not measured: an optimized crystal structure of NiAs2Ir at the PBE-GGA level of DFT.

Properties
The calculation puts the density of states at the Fermi level at 3.501 states/eV/f.u. Its uncorrected energy is -5.863 eV/atom. The value obtained for the formation enthalpy at 0 K is 122 meV per atom. The energy above the most stable polymorph in this dataset comes out at 347 meV/atom. As for the crystal system: tetragonal.

a b c (Å): 3.023 3.023 6.453
angles (deg): 90.00 90.00 90.00
Fractional coordinates of all 4 atoms:
Ni 0.000 0.000 0.000
As 0.500 0.500 0.239
As 0.500 0.500 0.761
Ir 0.000 0.000 0.500


Computed, not measured: an optimized crystal structure of FeAg2Sb at the PBE-GGA level of DFT.

Properties
The calculation puts the density of states at the Fermi level at 4.527 states/eV/f.u. Its uncorrected energy is -4.254 eV/atom. The formation energy from raw total energies is 0.32 eV per atom. As for the crystal system: tetragonal.

a b c (Å): 4.982 4.982 4.982
angles (deg): 129.13 129.13 74.80
Fractional coordinates of all 4 atoms:
Fe 0.000 0.000 0.000
Ag 0.250 0.750 0.500
Ag 0.500 0.500 0.000
Sb 0.750 0.250 0.500


Computed, not measured: an optimized crystal structure of CaRe2Te at the PBE-GGA level of DFT.

Properties
The calculation puts the density of states at the Fermi level at 2.064 states/eV/f.u. Its uncorrected energy is -7.025 eV/atom. The formation energy from raw total energies is 0.49 eV per atom. As for the crystal system: monoclinic.

a b c (Å): 5.891 5.891 5.539
angles (deg): 115.45 115.45 34.91
Fractional coordinates of all 4 atoms:
Ca 0.000 0.000 0.000
Re 0.222 0.222 0.841
Re 0.778 0.778 0.159
Te 0.500 0.500 0.500


Computed, not measured: an optimized crystal structure of CaCeBi at the PBE-GGA level of DFT.

Properties
The calculation puts the density of states at the Fermi level at 10.193 states/eV/f.u. Its uncorrected energy is -4.214 eV/atom. The value obtained for the formation enthalpy at 0 K is -275 meV per atom. The energy above the most stable polymorph in this dataset comes out at 360 meV/atom. As for the crystal system: trigonal.

a b c (Å): 5.231 5.231 4.271
angles (deg): 90.00 90.00 120.00
Fractional coordinates of all 3 atoms:
Ca 0.000 0.000 0.000
Ce 0.667 0.333 0.535
Bi 0.333 0.667 0.149


Computed, not measured: an optimized crystal structure of YAl3 at the PBE-GGA level of DFT.

Properties
The calculation puts the density of states at the Fermi level at 1.420 states/eV/f.u. Its uncorrected energy is -4.858 eV/atom. The value obtained for the formation enthalpy at 0 K is -436 meV per atom. As for the crystal system: trigonal.

a b c (Å): 7.911 7.911 7.911
angles (deg): 46.16 46.16 46.16
Fractional coordinates of all 12 atoms:
Y 0.000 0.000 0.000
Y 0.218 0.218 0.218
Y 0.782 0.782 0.782
Al 0.000 0.500 0.500
Al 0.264 0.702 0.702
Al 0.298 0.298 0.736
Al 0.298 0.736 0.298
Al 0.500 0.000 0.500
Al 0.500 0.500 0.000
Al 0.702 0.264 0.702
Al 0.702 0.702 0.264
Al 0.736 0.298 0.298


Computed, not measured: an optimized crystal structure of Sr2Mg5Tl3 at the PBE-GGA level of DFT.

Properties
The calculation puts the density of states at the Fermi level at 4.575 states/eV/f.u. Its uncorrected energy is -2.039 eV/atom. The value obtained for the formation enthalpy at 0 K is -195 meV per atom. The energy above the most stable polymorph in this dataset comes out at 0 meV/atom. As for the crystal system: orthorhombic.

a b c (Å): 14.701 14.701 7.843
angles (deg): 90.00 90.00 160.69
Fractional coordinates of all 20 atoms:
Sr 0.017 0.983 0.500
Sr 0.325 0.675 0.529
Sr 0.675 0.325 0.029
Sr 0.983 0.017 0.000
Mg 0.102 0.898 0.834
Mg 0.204 0.796 0.719
Mg 0.207 0.793 0.332
Mg 0.373 0.627 0.019
Mg 0.444 0.556 0.680
Mg 0.556 0.444 0.180
Mg 0.627 0.373 0.519
Mg 0.793 0.207 0.832
Mg 0.796 0.204 0.219
Mg 0.898 0.102 0.334
Tl 0.110 0.890 0.234
Tl 0.268 0.732 0.026
Tl 0.452 0.548 0.288
Tl 0.548 0.452 0.788
Tl 0.732 0.268 0.526
Tl 0.890 0.110 0.734


Computed, not measured: an optimized crystal structure of CaHo2PuBi4 at the PBE-GGA level of DFT.

Properties
The calculation puts the density of states at the Fermi level at 17.819 states/eV/f.u. Its uncorrected energy is -5.787 eV/atom. The value obtained for the formation enthalpy at 0 K is -660 meV per atom. As for the crystal system: monoclinic.

a b c (Å): 7.788 4.513 7.866
angles (deg): 90.00 109.13 90.00
Fractional coordinates of all 8 atoms:
Ca 0.000 0.000 0.000
Ho 0.000 0.500 0.500
Ho 0.500 0.000 0.500
Pu 0.500 0.500 0.000
Bi 0.251 0.000 0.744
Bi 0.256 0.500 0.258
Bi 0.744 0.500 0.742
Bi 0.749 0.000 0.256


Computed, not measured: an optimized crystal structure of Nd4YAg2 at the PBE-GGA level of DFT.

Properties
The calculation puts the density of states at the Fermi level at 9.486 states/eV/f.u. Its uncorrected energy is -4.365 eV/atom. The value obtained for the formation enthalpy at 0 K is 98 meV per atom. As for the crystal system: trigonal.

a b c (Å): 9.181 9.181 9.181
angles (deg): 35.15 35.15 35.15
Fractional coordinates of all 7 atoms:
Nd 0.127 0.127 0.127
Nd 0.271 0.271 0.271
Nd 0.729 0.729 0.729
Nd 0.873 0.873 0.873
Y 0.500 0.500 0.500
Ag 0.389 0.389 0.389
Ag 0.611 0.611 0.611